1.
A geometry-optimized Sm2GdPd structure, computed with GGA-PBE.

Cell: 3.7414 3.7414 29.6352 Å, 90.00 90.00 120.00°
Closest atoms and distances in Å follow each position.
Sites, in units of the cell vectors:
Sm1 0.0000 0.0000 0.2326  3 Pd 2.91
Sm2 0.0000 0.0000 0.7674  3 Pd 2.91
Sm3 0.3333 0.6667 0.4341  3 Pd 2.91
Sm4 0.3333 0.6667 0.8992  3 Pd 2.91
Sm5 0.6667 0.3333 0.1008  3 Pd 2.91
Sm6 0.6667 0.3333 0.5659  3 Pd 2.91
Gd1 0.0000 0.0000 0.0000  6 Sm 3.69, 6 Gd 3.74
Gd2 0.3333 0.6667 0.6667  6 Sm 3.69, 6 Gd 3.74
Gd3 0.6667 0.3333 0.3333  6 Sm 3.69, 6 Gd 3.74
Pd1 0.0000 0.0000 0.5000  6 Sm 2.91
Pd2 0.3333 0.6667 0.1667  6 Sm 2.91
Pd3 0.6667 0.3333 0.8333  6 Sm 2.91

As for the total energy: -89.2 eV for the cell shown. Its crystal system is trigonal. The size of the total moment is 1.870 μB per atom. The calculation puts the volume at 359.2 Å³/cell. The formation energy is -0.26 eV/atom.

2.
A geometry-optimized Sm2GdPd structure, computed with GGA-PBE.

Cell: 3.6380 3.6380 8.5703 Å, 90.00 90.00 90.00°
Closest atoms and distances in Å follow each position.
Sites, in units of the cell vectors:
Sm1 0.0000 0.0000 0.1995  4 Pd 3.09, 1 Sm 3.42
Sm2 0.0000 0.0000 0.8005  4 Pd 3.09, 1 Sm 3.42
Gd1 0.5000 0.5000 0.5000  4 Gd 3.64, 8 Sm 3.64
Pd1 0.5000 0.5000 0.0000  8 Sm 3.09

As for the total energy: -30.1 eV for the cell shown. Its crystal system is tetragonal. The size of the total moment is 2.042 μB per atom. The calculation puts the volume at 113.4 Å³/cell. The formation energy is -0.35 eV/atom.

3.
A geometry-optimized SmGdPd4 structure, computed with GGA-PBE.

Cell: 5.4807 5.4807 5.4807 Å, 60.00 60.00 60.00°
Closest atoms and distances in Å follow each position.
Sites, in units of the cell vectors:
Sm1 0.0000 0.0000 0.0000  12 Pd 3.21, 4 Gd 3.36
Gd1 0.2500 0.2500 0.2500  12 Pd 3.21, 4 Sm 3.36
Pd1 0.1255 0.6248 0.6248  6 Pd 2.74
Pd2 0.6248 0.1255 0.6248  6 Pd 2.74
Pd3 0.6248 0.6248 0.1255  6 Pd 2.74
Pd4 0.6248 0.6248 0.6248  6 Pd 2.74

As for the total energy: -44.3 eV for the cell shown. Its crystal system is cubic. The size of the total moment is 1.185 μB per atom. The calculation puts the volume at 116.4 Å³/cell. The formation energy is -0.79 eV/atom.

4.
A geometry-optimized SmGdSnPd structure, computed with GGA-PBE.

Cell: 7.4047 7.4047 7.4047 Å, 90.00 90.00 90.00°
Closest atoms and distances in Å follow each position.
Sites, in units of the cell vectors:
Sm1 0.0000 0.0000 0.0000  4 Sn 3.21, 4 Pd 3.21
Sm2 0.0000 0.5000 0.5000  4 Sn 3.21, 4 Pd 3.21
Sm3 0.5000 0.0000 0.5000  4 Sn 3.21, 4 Pd 3.21
Sm4 0.5000 0.5000 0.0000  4 Sn 3.21, 4 Pd 3.21
Gd1 0.0000 0.0000 0.5000  4 Sn 3.21, 4 Pd 3.21
Gd2 0.0000 0.5000 0.0000  4 Sn 3.21, 4 Pd 3.21
Gd3 0.5000 0.0000 0.0000  4 Sn 3.21, 4 Pd 3.21
Gd4 0.5000 0.5000 0.5000  4 Sn 3.21, 4 Pd 3.21
Sn1 0.2500 0.2500 0.2500  4 Gd 3.21, 4 Sm 3.21
Sn2 0.2500 0.7500 0.7500  4 Gd 3.21, 4 Sm 3.21
Sn3 0.7500 0.2500 0.7500  4 Gd 3.21, 4 Sm 3.21
Sn4 0.7500 0.7500 0.2500  4 Gd 3.21, 4 Sm 3.21
Pd1 0.2500 0.2500 0.7500  4 Gd 3.21, 4 Sm 3.21
Pd2 0.2500 0.7500 0.2500  4 Gd 3.21, 4 Sm 3.21
Pd3 0.7500 0.2500 0.2500  4 Gd 3.21, 4 Sm 3.21
Pd4 0.7500 0.7500 0.7500  4 Gd 3.21, 4 Sm 3.21

As for the total energy: -123.5 eV for the cell shown. Its crystal system is cubic. The size of the total moment is 1.823 μB per atom. The calculation puts the volume at 406.0 Å³/cell. The formation energy is -0.72 eV/atom.

5.
A geometry-optimized SmGdTcPd structure, computed with GGA-PBE.

Cell: 7.0057 7.0057 7.0057 Å, 90.00 90.00 90.00°
Closest atoms and distances in Å follow each position.
Sites, in units of the cell vectors:
Sm1 0.0000 0.0000 0.0000  4 Tc 3.03, 4 Pd 3.03
Sm2 0.0000 0.5000 0.5000  4 Tc 3.03, 4 Pd 3.03
Sm3 0.5000 0.0000 0.5000  4 Tc 3.03, 4 Pd 3.03
Sm4 0.5000 0.5000 0.0000  4 Tc 3.03, 4 Pd 3.03
Gd1 0.0000 0.0000 0.5000  4 Tc 3.03, 4 Pd 3.03
Gd2 0.0000 0.5000 0.0000  4 Tc 3.03, 4 Pd 3.03
Gd3 0.5000 0.0000 0.0000  4 Tc 3.03, 4 Pd 3.03
Gd4 0.5000 0.5000 0.5000  4 Tc 3.03, 4 Pd 3.03
Tc1 0.2500 0.2500 0.7500  4 Gd 3.03, 4 Sm 3.03
Tc2 0.2500 0.7500 0.2500  4 Gd 3.03, 4 Sm 3.03
Tc3 0.7500 0.2500 0.2500  4 Gd 3.03, 4 Sm 3.03
Tc4 0.7500 0.7500 0.7500  4 Gd 3.03, 4 Sm 3.03
Pd1 0.2500 0.2500 0.2500  4 Gd 3.03, 4 Sm 3.03
Pd2 0.2500 0.7500 0.7500  4 Gd 3.03, 4 Sm 3.03
Pd3 0.7500 0.2500 0.7500  4 Gd 3.03, 4 Sm 3.03
Pd4 0.7500 0.7500 0.2500  4 Gd 3.03, 4 Sm 3.03

As for the total energy: -141.8 eV for the cell shown. Its crystal system is cubic. The size of the total moment is 1.757 μB per atom. The calculation puts the volume at 343.8 Å³/cell. The formation energy is -0.27 eV/atom.

6.
A geometry-optimized SmGdTlPd structure, computed with GGA-PBE.

Cell: 7.4267 7.4267 7.4267 Å, 90.00 90.00 90.00°
Closest atoms and distances in Å follow each position.
Sites, in units of the cell vectors:
Sm1 0.0000 0.0000 0.0000  4 Tl 3.22, 4 Pd 3.22
Sm2 0.0000 0.5000 0.5000  4 Tl 3.22, 4 Pd 3.22
Sm3 0.5000 0.0000 0.5000  4 Tl 3.22, 4 Pd 3.22
Sm4 0.5000 0.5000 0.0000  4 Tl 3.22, 4 Pd 3.22
Gd1 0.0000 0.0000 0.5000  4 Tl 3.22, 4 Pd 3.22
Gd2 0.0000 0.5000 0.0000  4 Tl 3.22, 4 Pd 3.22
Gd3 0.5000 0.0000 0.0000  4 Tl 3.22, 4 Pd 3.22
Gd4 0.5000 0.5000 0.5000  4 Tl 3.22, 4 Pd 3.22
Tl1 0.2500 0.2500 0.7500  4 Gd 3.22, 4 Sm 3.22
Tl2 0.2500 0.7500 0.2500  4 Gd 3.22, 4 Sm 3.22
Tl3 0.7500 0.2500 0.2500  4 Gd 3.22, 4 Sm 3.22
Tl4 0.7500 0.7500 0.7500  4 Gd 3.22, 4 Sm 3.22
Pd1 0.2500 0.2500 0.2500  4 Gd 3.22, 4 Sm 3.22
Pd2 0.2500 0.7500 0.7500  4 Gd 3.22, 4 Sm 3.22
Pd3 0.7500 0.2500 0.7500  4 Gd 3.22, 4 Sm 3.22
Pd4 0.7500 0.7500 0.2500  4 Gd 3.22, 4 Sm 3.22

As for the total energy: -113.8 eV for the cell shown. Its crystal system is cubic. The size of the total moment is 1.824 μB per atom. The calculation puts the volume at 409.6 Å³/cell. The formation energy is -0.52 eV/atom.

7.
A geometry-optimized GdSn2Pd structure, computed with GGA-PBE.

Cell: 3.4195 3.4195 7.7207 Å, 90.00 90.00 90.00°
Closest atoms and distances in Å follow each position.
Sites, in units of the cell vectors:
Gd1 0.0000 0.0000 0.0000  8 Sn 3.30, 4 Gd 3.42
Sn1 0.5000 0.5000 0.2902  4 Pd 2.91, 1 Sn 3.24
Sn2 0.5000 0.5000 0.7098  4 Pd 2.91, 1 Sn 3.24
Pd1 0.0000 0.0000 0.5000  8 Sn 2.91

As for the total energy: -29.4 eV for the cell shown. Its crystal system is tetragonal. The size of the total moment is 1.902 μB per atom. The calculation puts the volume at 90.3 Å³/cell. The formation energy is -0.52 eV/atom.

8.
A geometry-optimized GdSnPd structure, computed with GGA-PBE.

Cell: 4.7088 4.7088 3.5802 Å, 90.00 90.00 120.00°
Closest atoms and distances in Å follow each position.
Sites, in units of the cell vectors:
Gd1 0.0000 0.0000 0.0000  6 Sn 3.26, 6 Pd 3.26, 2 Gd 3.58
Sn1 0.6667 0.3333 0.5000  3 Pd 2.72
Pd1 0.3333 0.6667 0.5000  3 Sn 2.72

As for the total energy: -25.9 eV for the cell shown. Its crystal system is hexagonal. The size of the total moment is 2.351 μB per atom. The calculation puts the volume at 68.7 Å³/cell. The formation energy is -0.88 eV/atom.